Record 1
YHo8Tm3: relaxed, PBE.

Crystal system: triclinic
ΔH_f (0 K) (meV/atom): 22
Space group: P-1, No. 2

Lattice parameters (Å, degrees): 7.044 12.195 9.310 139.86 79.07 125.31
Fractional coordinates of all 12 atoms:
Y 0.000 0.000 0.000
Ho 0.332 0.500 0.668
Ho 0.668 0.500 0.332
Ho 0.335 0.001 0.667
Ho 0.834 0.001 0.667
Ho 0.832 0.498 0.665
Ho 0.168 0.502 0.335
Ho 0.166 0.999 0.333
Ho 0.665 0.999 0.333
Tm 0.500 0.000 0.000
Tm 0.500 0.500 0.000
Tm 0.000 0.500 0.000

=====

Record 2
TcAu2Br: relaxed, PBE.

Crystal system: tetragonal
ΔE to the lowest computed polymorph (meV/atom): 85
Space group: P4mm, No. 99

Lattice parameters (Å, degrees): 3.033 3.033 8.450 90.00 90.00 90.00
Fractional coordinates of all 4 atoms:
Au 0.000 0.000 0.974
Au 0.500 0.500 0.206
Tc 0.500 0.500 0.746
Br 0.000 0.000 0.574

=====

Record 3
ScTaTe2: relaxed, PBE.

Crystal system: cubic
ΔE to the lowest computed polymorph (meV/atom): 883
Space group: F-43m, No. 216

Lattice parameters (Å, degrees): 5.020 5.020 5.020 60.00 60.00 60.00
Fractional coordinates of all 4 atoms:
Sc 0.500 0.500 0.500
Ta 0.750 0.750 0.750
Te 0.000 0.000 0.000
Te 0.250 0.250 0.250

=====

Record 4
HoNp2S4: relaxed, PBE.

Crystal system: orthorhombic
ΔE to the lowest computed polymorph (meV/atom): 0
Space group: Cmcm, No. 63

Lattice parameters (Å, degrees): 3.797 6.752 13.100 90.00 90.00 106.33
Fractional coordinates of all 14 atoms:
Ho 0.622 0.244 0.750
Ho 0.378 0.756 0.250
Np 0.134 0.267 0.431
Np 0.866 0.733 0.931
Np 0.134 0.267 0.069
Np 0.866 0.733 0.569
S 0.778 0.557 0.125
S 0.778 0.557 0.375
S 0.222 0.443 0.875
S 0.222 0.443 0.625
S 0.971 0.941 0.750
S 0.029 0.059 0.250
S 0.500 0.000 0.000
S 0.500 0.000 0.500

=====

Record 5
Nd3Al4Au7: relaxed, PBE.

Crystal system: monoclinic
ΔH_f (0 K) (meV/atom): -679
Space group: C2/m, No. 12

Lattice parameters (Å, degrees): 4.451 8.580 8.613 67.58 75.03 74.97
Fractional coordinates of all 14 atoms:
Nd 0.318 0.187 0.177
Nd 0.682 0.813 0.823
Nd 0.000 0.500 0.500
Al 0.674 0.463 0.189
Al 0.326 0.537 0.811
Al 0.872 0.907 0.348
Al 0.128 0.093 0.652
Au 0.316 0.817 0.551
Au 0.501 0.229 0.769
Au 0.860 0.377 0.903
Au 0.684 0.183 0.449
Au 0.140 0.623 0.097
Au 0.000 0.000 0.000
Au 0.499 0.771 0.231

=====

Record 6
CaLa2PrCo: relaxed, PBE.

Crystal system: tetragonal
ΔH_f (0 K) (meV/atom): -27
Space group: P4/mmm, No. 123

Lattice parameters (Å, degrees): 5.736 5.458 5.458 90.00 90.00 90.00
Fractional coordinates of all 5 atoms:
Ca 0.500 0.500 0.500
La 0.000 0.000 0.500
La 0.000 0.500 0.000
Pr 0.500 0.000 0.000
Co 0.000 0.000 0.000

=====

Record 7
ZrScPa2: relaxed, PBE.

Crystal system: hexagonal
ΔH_f (0 K) (meV/atom): 324
ΔE to the lowest computed polymorph (meV/atom): 248
Space group: P6_3/mmc, No. 194

Lattice parameters (Å, degrees): 5.170 5.170 8.917 90.00 90.00 120.00
Fractional coordinates of all 8 atoms:
Zr 0.667 0.333 0.250
Zr 0.333 0.667 0.750
Sc 0.000 0.000 0.250
Sc 0.000 0.000 0.750
Pa 0.667 0.333 0.592
Pa 0.333 0.667 0.092
Pa 0.333 0.667 0.408
Pa 0.667 0.333 0.908

=====

Record 8
NdTiCu: relaxed, PBE.

Crystal system: orthorhombic
ΔH_f (0 K) (meV/atom): 97
Space group: Cmmm, No. 65

Lattice parameters (Å, degrees): 4.728 3.341 11.213 90.00 90.00 135.05
Fractional coordinates of all 6 atoms:
Cu 0.694 0.388 0.000
Cu 0.194 0.389 0.500
Nd 0.695 0.389 0.323
Nd 0.695 0.389 0.677
Ti 0.194 0.389 0.879
Ti 0.194 0.389 0.121

=====

Record 9
PdPt3Pb: relaxed, PBE.

Crystal system: cubic
ΔH_f (0 K) (meV/atom): 950
ΔE to the lowest computed polymorph (meV/atom): 1040
Space group: Pm-3m, No. 221

Lattice parameters (Å, degrees): 4.896 4.896 4.896 90.00 90.00 90.00
Fractional coordinates of all 5 atoms:
Pb 0.500 0.500 0.500
Pd 0.000 0.000 0.000
Pt 0.000 0.500 0.000
Pt 0.000 0.000 0.500
Pt 0.500 0.000 0.000

=====

Record 10
Cs3BiPd: relaxed, PBE.

Crystal system: cubic
ΔH_f (0 K) (meV/atom): 99
ΔE to the lowest computed polymorph (meV/atom): 0
Space group: Pm-3m, No. 221

Lattice parameters (Å, degrees): 6.413 6.413 6.413 90.00 90.00 90.00
Fractional coordinates of all 5 atoms:
Cs 0.000 0.500 0.000
Cs 0.000 0.000 0.500
Cs 0.500 0.000 0.000
Bi 0.500 0.500 0.500
Pd 0.000 0.000 0.000

=====

Record 11
BaHfSiF2: relaxed, PBE.

Crystal system: tetragonal
Space group: P4/mmm, No. 123

Lattice parameters (Å, degrees): 4.482 5.319 4.482 90.00 90.00 90.00
Fractional coordinates of all 5 atoms:
Si 0.000 0.500 0.000
Hf 0.000 0.000 0.000
Ba 0.500 0.500 0.500
F 0.000 0.000 0.500
F 0.500 0.000 0.000

=====

Record 12
Nd5Y2Tm6: relaxed, PBE.

Crystal system: orthorhombic
ΔH_f (0 K) (meV/atom): 96
Space group: Pbam, No. 55

Lattice parameters (Å, degrees): 3.581 11.666 20.436 90.00 90.00 90.00
Fractional coordinates of all 26 atoms:
Nd 0.500 0.300 0.449
Nd 0.500 0.700 0.551
Nd 0.500 0.800 0.051
Nd 0.500 0.200 0.949
Nd 0.500 0.590 0.275
Nd 0.500 0.410 0.725
Nd 0.500 0.090 0.225
Nd 0.500 0.910 0.775
Nd 0.500 0.500 0.000
Nd 0.500 0.000 0.500
Y 0.000 0.332 0.287
Y 0.000 0.668 0.713
Y 0.000 0.832 0.213
Y 0.000 0.168 0.787
Tm 0.000 0.079 0.367
Tm 0.000 0.921 0.633
Tm 0.000 0.579 0.133
Tm 0.000 0.421 0.867
Tm 0.500 0.323 0.134
Tm 0.500 0.677 0.866
Tm 0.500 0.823 0.366
Tm 0.500 0.177 0.634
Tm 0.000 0.561 0.420
Tm 0.000 0.439 0.580
Tm 0.000 0.061 0.080
Tm 0.000 0.939 0.920

=====

no.,E_tot (eV/f.u.),density of states at the Fermi level (states/eV/f.u.)
1,-56.2,15.96
2,-16.9,2.81
3,-23.1,5.95
4,-57.9,16.62
5,-61.7,8.73
6,-23.9,6.59
7,-32.6,9.17
8,-16.5,3.87
9,-22.3,11.99
10,-11.1,6.93
11,-30.3,0.03
12,-62.3,17.19